A plane-wave DFT calculation with GGA-PBE was carried out for crystalline KTa2RuS at its relaxed geometry.

The total magnetization comes out at 0.0 μB/cell. The calculation puts the mass density at 8.8 g/cm³. Its density of states at the Fermi level is 5.3 states/eV per cell. The value obtained for the calculated volume is 100.70 Å³ per cell. The calculation puts the uncorrected formation energy at 3.121 eV per atom.

The structure belongs to space group P4/mmm (No. 123); the cell edges are 4.802, 4.802 and 4.366 Å and the angles 90.00°, 90.00° and 90.00°. Symmetry generates all atoms from K at (0.000, 0.000, 0.000), Ta at (0.000, 0.500, 0.000), Ru at (0.000, 0.000, 0.500) and S at (0.500, 0.500, 0.500).